[1]
The following is a PBE-GGA calculation of an optimized crystal structure of CaPm3Er6, from Alexandria via LeMat-Bulk.

Summary:
**Volume**: 353.8 Å³/f.u.
**M_tot**: 0.00 μB per formula unit
**Energy relative to the elements**: 0.251 eV/atom

Cell and atoms, written as CIF:
```
data_CaPm3Er6
_chemical_formula_sum 'Ca1 Pm3 Er6'
_cell_length_a 5.9138
_cell_length_b 6.8472
_cell_length_c 9.6214
_cell_angle_alpha 69.48
_cell_angle_beta 76.76
_cell_angle_gamma 89.99
_symmetry_space_group_name_H-M 'P -1'
_symmetry_Int_Tables_number 2
loop_
_symmetry_equiv_pos_as_xyz
'x,y,z'
'-x,-y,-z'
loop_
_atom_site_label
_atom_site_type_symbol
_atom_site_fract_x
_atom_site_fract_y
_atom_site_fract_z
Ca1 Ca 0.0000 0.0000 0.0000
Pm1 Pm 0.3995 0.8513 0.2953
Pm2 Pm 0.5000 0.5000 0.0000
Er1 Er 0.1009 0.4317 0.6616
Er2 Er 0.1015 0.9090 0.6603
Er3 Er 0.3962 0.3125 0.3735
```

[2]
The following is a PBE-GGA calculation of an optimized crystal structure of Ca2Pm5Er4, from Alexandria via LeMat-Bulk.

Summary:
**Volume**: 385.3 Å³/f.u.
**M_tot**: 0.00 μB per formula unit
**Energy relative to the elements**: 0.188 eV/atom

Cell and atoms, written as CIF:
```
data_Ca2Pm5Er4
_chemical_formula_sum 'Ca4 Pm10 Er8'
_cell_length_a 17.3553
_cell_length_b 6.7520
_cell_length_c 6.6236
_cell_angle_alpha 90.00
_cell_angle_beta 96.87
_cell_angle_gamma 90.00
_symmetry_space_group_name_H-M 'C 1 2/m 1'
_symmetry_Int_Tables_number 12
loop_
_symmetry_equiv_pos_as_xyz
'x,y,z'
'-x,-y,-z'
'-x,y,-z'
'x,-y,z'
'x+1/2,y+1/2,z'
'-x+1/2,-y+1/2,-z'
'-x+1/2,y+1/2,-z'
'x+1/2,-y+1/2,z'
loop_
_atom_site_label
_atom_site_type_symbol
_atom_site_fract_x
_atom_site_fract_y
_atom_site_fract_z
Ca1 Ca 0.2021 0.0000 0.3454
Pm1 Pm 0.0000 0.0000 0.5000
Pm2 Pm 0.0886 0.2607 0.8961
Er1 Er 0.0797 0.5000 0.3826
Er2 Er 0.2454 0.5000 0.1368
```

[3]
The following is a PBE-GGA calculation of an optimized crystal structure of CaPm6Er5, from Alexandria via LeMat-Bulk.

Summary:
**Volume**: 396.0 Å³/f.u.
**M_tot**: 0.00 μB per formula unit
**Energy relative to the elements**: 0.037 eV/atom

Cell and atoms, written as CIF:
```
data_CaPm6Er5
_chemical_formula_sum 'Ca2 Pm12 Er10'
_cell_length_a 11.8729
_cell_length_b 10.8531
_cell_length_c 6.2458
_cell_angle_alpha 90.00
_cell_angle_beta 100.21
_cell_angle_gamma 90.00
_symmetry_space_group_name_H-M 'C 1 2/m 1'
_symmetry_Int_Tables_number 12
loop_
_symmetry_equiv_pos_as_xyz
'x,y,z'
'-x,-y,-z'
'-x,y,-z'
'x,-y,z'
'x+1/2,y+1/2,z'
'-x+1/2,-y+1/2,-z'
'-x+1/2,y+1/2,-z'
'x+1/2,-y+1/2,z'
loop_
_atom_site_label
_atom_site_type_symbol
_atom_site_fract_x
_atom_site_fract_y
_atom_site_fract_z
Ca1 Ca 0.0000 0.0000 0.0000
Pm1 Pm 0.2460 0.3293 0.7480
Pm2 Pm 0.2477 0.5000 0.2602
Er1 Er 0.0000 0.1717 0.5000
Er2 Er 0.0000 0.3388 0.0000
Er3 Er 0.0000 0.5000 0.5000
```